Entry 1:
# ErZrH2 | Alexandria | PBE | optimized geometry
data_ErZrH2
_chemical_formula_sum 'Er1 Zr1 H2'
_symmetry_space_group_name_H-M 'P 1'
_symmetry_Int_Tables_number 1
_symmetry_space_group_name_Hall 'P 1'
_cell_length_a 5.821
_cell_length_b 5.821
_cell_length_c 5.821
_cell_angle_alpha 33.41
_cell_angle_beta 33.41
_cell_angle_gamma 33.41
loop_
_atom_site_label
_atom_site_fract_x
_atom_site_fract_y
_atom_site_fract_z
Er1 0.000 0.000 0.000
Zr1 0.500 0.500 0.500
H1 0.233 0.233 0.233
H2 0.767 0.767 0.767
# Polymorph energy (0 for the lowest one) = 0.00 eV per formula unit
# Calculated total energy = -21.1 eV per cell
# Total magnetization = 0.0 μB per cell

Entry 2:
# CdAgGeO4 | Alexandria | PBE | optimized geometry
data_CdAgGeO4
_chemical_formula_sum 'Cd2 Ag2 Ge2 O8'
_symmetry_space_group_name_H-M 'P 1'
_symmetry_Int_Tables_number 1
_symmetry_space_group_name_Hall 'P 1'
_cell_length_a 5.528
_cell_length_b 5.528
_cell_length_c 6.915
_cell_angle_alpha 90.00
_cell_angle_beta 90.00
_cell_angle_gamma 114.43
loop_
_atom_site_label
_atom_site_fract_x
_atom_site_fract_y
_atom_site_fract_z
Cd1 0.000 0.000 0.000
Cd2 0.000 0.000 0.500
Ag1 0.297 0.703 0.750
Ag2 0.703 0.297 0.250
Ge1 0.365 0.635 0.250
Ge2 0.635 0.365 0.750
O1 0.243 0.279 0.250
O2 0.250 0.750 0.047
O3 0.250 0.750 0.453
O4 0.279 0.243 0.750
O5 0.721 0.757 0.250
O6 0.750 0.250 0.547
O7 0.750 0.250 0.953
O8 0.757 0.721 0.750
# Formation energy without anion corrections = -0.97 eV per atom
# Calculated total energy = -70.0 eV per cell
# Total magnetization = 0.0 μB per cell

Entry 3:
# K2AgHgP | Alexandria | PBE | optimized geometry
data_K2AgHgP
_chemical_formula_sum 'K2 Ag1 Hg1 P1'
_symmetry_space_group_name_H-M 'P 1'
_symmetry_Int_Tables_number 1
_symmetry_space_group_name_Hall 'P 1'
_cell_length_a 6.338
_cell_length_b 6.338
_cell_length_c 4.697
_cell_angle_alpha 90.00
_cell_angle_beta 90.00
_cell_angle_gamma 90.00
loop_
_atom_site_label
_atom_site_fract_x
_atom_site_fract_y
_atom_site_fract_z
K1 0.000 0.500 0.000
K2 0.500 0.000 0.000
Ag1 0.000 0.000 0.500
Hg1 0.500 0.500 0.500
P1 0.000 0.000 0.000
# Calculated total energy = -11.6 eV per cell
# Total magnetization = 0.0 μB per cell
# Calculated formation energy = -0.8 eV/f.u.

Entry 4:
# Ho2Si4Ni3Ru | Alexandria | PBE | optimized geometry
data_Ho2Si4Ni3Ru
_chemical_formula_sum 'Ho2 Si4 Ni3 Ru1'
_symmetry_space_group_name_H-M 'P 1'
_symmetry_Int_Tables_number 1
_symmetry_space_group_name_Hall 'P 1'
_cell_length_a 3.963
_cell_length_b 3.963
_cell_length_c 9.663
_cell_angle_alpha 90.00
_cell_angle_beta 90.00
_cell_angle_gamma 90.00
loop_
_atom_site_label
_atom_site_fract_x
_atom_site_fract_y
_atom_site_fract_z
Ho1 0.000 0.500 0.241
Ho2 0.500 0.000 0.759
Si1 0.000 0.000 0.000
Si2 0.000 0.500 0.635
Si3 0.500 0.000 0.365
Si4 0.500 0.500 0.000
Ni1 0.000 0.500 0.875
Ni2 0.500 0.000 0.125
Ni3 0.500 0.500 0.500
Ru1 0.000 0.000 0.500
# Formation energy without anion corrections = -0.87 eV per atom
# Calculated total energy = -66.1 eV per cell
# Total magnetization = 0.0 μB per cell

Entry 5:
# Rb5Hg2Au2 | Alexandria | PBE | optimized geometry
data_Rb5Hg2Au2
_chemical_formula_sum 'Rb10 Hg4 Au4'
_symmetry_space_group_name_H-M 'P 1'
_symmetry_Int_Tables_number 1
_symmetry_space_group_name_Hall 'P 1'
_cell_length_a 12.034
_cell_length_b 12.034
_cell_length_c 12.034
_cell_angle_alpha 65.49
_cell_angle_beta 131.98
_cell_angle_gamma 138.24
loop_
_atom_site_label
_atom_site_fract_x
_atom_site_fract_y
_atom_site_fract_z
Rb1 0.142 0.507 0.921
Rb2 0.142 0.721 0.135
Rb3 0.176 0.069 0.245
Rb4 0.176 0.431 0.606
Rb5 0.553 0.399 0.654
Rb6 0.586 0.007 0.865
Rb7 0.586 0.221 0.079
Rb8 0.746 0.899 0.346
Rb9 0.824 0.569 0.394
Rb10 0.824 0.931 0.755
Hg1 0.086 0.842 0.745
Hg2 0.097 0.342 0.255
Hg3 0.354 0.354 0.000
Hg4 0.354 0.854 0.500
Au1 0.636 0.083 0.412
Au2 0.636 0.724 0.054
Au3 0.671 0.224 0.588
Au4 0.671 0.583 0.946
# Calculated total energy = -27.4 eV per cell
# Total magnetization = 0.0 μB per cell
# Calculated formation energy = -1.7 eV/f.u.

Entry 6:
# YHg3Pb | Alexandria | PBE | optimized geometry
data_YHg3Pb
_chemical_formula_sum 'Y1 Hg3 Pb1'
_symmetry_space_group_name_H-M 'P 1'
_symmetry_Int_Tables_number 1
_symmetry_space_group_name_Hall 'P 1'
_cell_length_a 5.599
_cell_length_b 5.599
_cell_length_c 5.599
_cell_angle_alpha 90.00
_cell_angle_beta 90.00
_cell_angle_gamma 90.00
loop_
_atom_site_label
_atom_site_fract_x
_atom_site_fract_y
_atom_site_fract_z
Y1 0.000 0.000 0.000
Hg1 0.000 0.500 0.500
Hg2 0.500 0.000 0.500
Hg3 0.500 0.500 0.000
Pb1 0.500 0.500 0.500
# Polymorph energy (0 for the lowest one) = 3.38 eV per formula unit
# Calculated total energy = -8.8 eV per cell
# Total magnetization = 0.0 μB per cell
# Calculated formation energy = 2.3 eV/f.u.

Entry 7:
# MnSbTe2 | Alexandria | PBE | optimized geometry
data_MnSbTe2
_chemical_formula_sum 'Mn1 Sb1 Te2'
_symmetry_space_group_name_H-M 'P 1'
_symmetry_Int_Tables_number 1
_symmetry_space_group_name_Hall 'P 1'
_cell_length_a 4.306
_cell_length_b 4.338
_cell_length_c 6.139
_cell_angle_alpha 90.00
_cell_angle_beta 90.00
_cell_angle_gamma 90.00
loop_
_atom_site_label
_atom_site_fract_x
_atom_site_fract_y
_atom_site_fract_z
Mn1 0.000 0.000 0.000
Sb1 0.500 0.500 0.500
Te1 0.000 0.000 0.500
Te2 0.500 0.500 0.000
# Formation energy without anion corrections = 0.06 eV per atom
# Calculated total energy = -19.3 eV per cell
# Total magnetization = 4.8 μB per cell